Entry 1:
BiBSCl2 (GGA-PBE, optimized geometry); formation energy from raw total energies = 0.30 eV per atom; final energy = -16.886 eV for the cell shown; energy above the lowest structure with this stoichiometry = 0 kJ/mol of formula units; DOS at the Fermi energy = 0.41 states/eV per atom; size of the total moment = 0.00 μB per formula unit
1.0
-3.088 2.701 1.575
1.340 -0.858 4.097
3.000 3.567 -0.234
Cl Bi B S
2 1 1 1
direct
0.000 0.500 0.000 Cl
0.500 0.000 0.000 Cl
0.500 0.500 0.500 Bi
0.000 0.000 0.000 B
0.000 0.000 0.500 S

Entry 2:
BiB2SeCl (GGA-PBE, optimized geometry); formation energy from raw total energies = 1.78 eV per atom; final energy = -13.691 eV for the cell shown; DOS at the Fermi energy = 1.04 states/eV per atom; size of the total moment = 0.77 μB per formula unit
1.0
5.019 0.000 0.000
0.000 5.466 0.000
0.000 0.000 5.019
B Se Bi Cl
2 1 1 1
direct
0.500 0.000 0.000 B
0.000 0.000 0.500 B
0.000 0.500 0.000 Se
0.000 0.000 0.000 Bi
0.500 0.500 0.500 Cl

Entry 3:
TaBiBCl2 (GGA-PBE, optimized geometry); formation energy from raw total energies = 0.69 eV per atom; final energy = -22.671 eV for the cell shown; DOS at the Fermi energy = 0.57 states/eV per atom; size of the total moment = 0.00 μB per formula unit
1.0
-3.229 -0.621 3.330
-1.673 -5.023 -2.558
3.115 -2.352 2.581
Ta B Bi Cl
1 1 1 2
direct
0.000 0.000 0.000 Ta
0.500 0.500 0.500 B
0.000 0.500 0.000 Bi
0.500 0.000 0.000 Cl
0.000 0.000 0.500 Cl